An optimized crystal structure of MnCr2Rh8. Source: Alexandria, functional GGA-PBE.

Energy of formation ... 0.007 eV/atom
SG ... Immm
Volume ... 14.09 A^3/atom
Total magnetic moment ... 4.3 μB/f.u.
Electronic total energy ... -7.923 eV per atom

The structure in POSCAR format:
```
MnCr2Rh8
1.0
3.783 0.000 -1.151
-1.010 5.841 -3.317
0.058 0.025 6.981
Mn Cr Rh
1 2 8
direct
0.500 0.000 0.000
0.200 0.700 0.400
0.800 0.300 0.600
0.657 0.872 0.315
0.343 0.557 0.685
0.150 0.150 0.300
0.000 0.310 0.000
0.850 0.850 0.700
0.657 0.443 0.315
0.343 0.128 0.685
0.000 0.690 0.000
```